{
  "formula": "Ca3TcMo",
  "functional": "PBE-GGA",
  "state": "optimized geometry",
  "relative_energy_kj_per_mol_atoms": 1.3,
  "volume_a3_per_cell": 143.0,
  "mass_density_g_cm3": 3.6,
  "dft_energy_ev_per_atom": -3.90,
  "formation_enthalpy_0k_ev_per_atom": 1.5413,
  "lattice": [[-4.293, -2.987, -0.037], [1.266, -1.877, 4.714], [-2.706, 3.860, 2.264]],
  "species": ["Ca", "Mo", "Ca", "Tc", "Ca"],
  "fractional_positions": [[0.500, 0.000, 0.000], [0.500, 0.500, 0.500], [0.000, 0.000, 0.500], [0.000, 0.000, 0.000], [0.000, 0.500, 0.000]]
}